First-principles (PBE+U) data for CoAuF2 after structural relaxation, as listed in Alexandria via LeMat-Bulk.

Values from the calculation:
For the electronic total energy, the calculation gives -31.78 eV/cell. The density comes out at 6.69 g/cm³.

Structure (POSCAR):
```
CoAuF2
1.0
-3.012 3.012 4.023
3.012 -3.012 4.023
3.012 3.012 -4.023
Co Au F
2 2 4
direct
0.000 0.000 0.000
0.750 0.250 0.500
0.250 0.750 0.500
0.500 0.500 0.000
0.375 0.237 0.362
0.763 0.125 0.138
0.875 0.013 0.638
0.987 0.625 0.862
```